(1)
VASP calculation (PBE-GGA) on crystalline CsNaRu3 at its relaxed geometry.

Results
* space-group type: Pm-3m
* E_form: 12.81 eV per formula unit
* mass density: 6.10 Mg/m³
* relative energy among the computed polymorphs: 0.73 eV/f.u.
* DOS at the Fermi energy: 11.7 states/eV/f.u.

abc: 5.000 5.000 5.000
angles: 90.00 90.00 90.00
Sites, in units of the cell vectors:
1 Na 0.500 0.500 0.500
2 Ru 0.500 0.000 0.000
3 Ru 0.000 0.500 0.000
4 Ru 0.000 0.000 0.500
5 Cs 0.000 0.000 0.000


(2)
VASP calculation (PBE-GGA) on crystalline In2O3 at its relaxed geometry.

Results
* space-group type: Pnma
* mass density: 7.24 Mg/m³
* raw formation energy: -1356 meV/atom
* DOS at the Fermi energy: 0.9 states/eV/f.u.

abc: 3.247 5.856 13.402
angles: 90.00 90.00 90.00
Sites, in units of the cell vectors:
1 In 0.250 0.764 0.557
2 In 0.750 0.736 0.057
3 In 0.750 0.236 0.443
4 In 0.250 0.713 0.318
5 In 0.250 0.213 0.182
6 In 0.250 0.264 0.943
7 In 0.750 0.287 0.682
8 In 0.750 0.787 0.818
9 O 0.750 0.110 0.070
10 O 0.750 0.319 0.275
11 O 0.750 0.610 0.430
12 O 0.250 0.390 0.570
13 O 0.250 0.014 0.413
14 O 0.250 0.890 0.930
15 O 0.750 0.819 0.225
16 O 0.750 0.486 0.913
17 O 0.250 0.514 0.087
18 O 0.250 0.681 0.725
19 O 0.750 0.986 0.587
20 O 0.250 0.181 0.775


(3)
VASP calculation (PBE-GGA) on crystalline Tc3P at its relaxed geometry.

Results
* space-group type: I4/mmm
* E_form: 0.20 eV per formula unit
* mass density: 9.76 Mg/m³
* relative energy among the computed polymorphs: 1.56 eV/f.u.
* DOS at the Fermi energy: 4.7 states/eV/f.u.

abc: 4.837 4.837 4.837
angles: 135.25 135.25 65.15
Sites, in units of the cell vectors:
1 Tc 0.500 0.500 0.000
2 Tc 0.250 0.750 0.500
3 Tc 0.750 0.250 0.500
4 P 0.000 0.000 0.000


(4)
VASP calculation (PBE-GGA) on crystalline RbBe3Si at its relaxed geometry.

Results
* space-group type: Pm-3m
* mass density: 2.50 Mg/m³
* relative energy among the computed polymorphs: 0.00 eV/f.u.
* raw formation energy: 1004 meV/atom
* DOS at the Fermi energy: 3.8 states/eV/f.u.

abc: 4.536 4.536 4.536
angles: 90.00 90.00 90.00
Sites, in units of the cell vectors:
1 Be 0.000 0.500 0.000
2 Be 0.000 0.000 0.500
3 Be 0.500 0.000 0.000
4 Si 0.000 0.000 0.000
5 Rb 0.500 0.500 0.500


(5)
VASP calculation (PBE-GGA) on crystalline Rb2SrI2Br2 at its relaxed geometry.

Results
* space-group type: I4/mmm
* mass density: 3.33 Mg/m³
* raw formation energy: -1737 meV/atom
* DOS at the Fermi energy: 0.0 states/eV/f.u.

abc: 5.950 5.950 10.374
angles: 106.66 106.66 90.00
Sites, in units of the cell vectors:
1 Sr 0.000 0.000 0.000
2 Br 0.000 0.500 0.000
3 Br 0.500 0.000 0.000
4 Rb 0.637 0.637 0.274
5 Rb 0.363 0.363 0.726
6 I 0.172 0.172 0.343
7 I 0.828 0.828 0.657


(6)
VASP calculation (PBE-GGA) on crystalline Ac3Pr2Nd2 at its relaxed geometry.

Results
* space-group type: C2/m
* E_form: 0.87 eV per formula unit
* mass density: 7.43 Mg/m³
* relative energy among the computed polymorphs: 0.58 eV/f.u.
* DOS at the Fermi energy: 10.8 states/eV/f.u.

abc: 3.733 9.046 9.530
angles: 117.09 101.29 90.00
Sites, in units of the cell vectors:
1 Nd 0.857 0.676 0.715
2 Nd 0.143 0.324 0.285
3 Ac 0.000 0.500 0.000
4 Ac 0.217 0.795 0.434
5 Ac 0.783 0.205 0.566
6 Pr 0.437 0.091 0.874
7 Pr 0.563 0.909 0.126


(7)
VASP calculation (PBE-GGA) on crystalline Rb3Cr2InI9 at its relaxed geometry.

Results
* space-group type: P-3m1
* mass density: 4.32 Mg/m³
* raw formation energy: -782 meV/atom
* DOS at the Fermi energy: 4.0 states/eV/f.u.

abc: 8.279 8.279 10.476
angles: 90.00 90.00 120.00
Sites, in units of the cell vectors:
1 I 0.175 0.350 0.308
2 I 0.500 0.500 0.000
3 I 0.500 0.000 0.000
4 I 0.825 0.175 0.692
5 I 0.350 0.175 0.692
6 I 0.000 0.500 0.000
7 I 0.825 0.650 0.692
8 I 0.175 0.825 0.308
9 I 0.650 0.825 0.308
10 Cr 0.333 0.667 0.158
11 Cr 0.667 0.333 0.842
12 Rb 0.667 0.333 0.312
13 Rb 0.000 0.000 0.000
14 Rb 0.333 0.667 0.688
15 In 0.000 0.000 0.500


(8)
VASP calculation (PBE-GGA) on crystalline MnSe3 at its relaxed geometry.

Results
* space-group type: P4/mmm
* mass density: 5.77 Mg/m³
* raw formation energy: 56 meV/atom
* DOS at the Fermi energy: 3.2 states/eV/f.u.

abc: 2.872 2.872 10.181
angles: 90.00 90.00 90.00
Sites, in units of the cell vectors:
1 Se 0.500 0.500 0.850
2 Se 0.500 0.500 0.150
3 Se 0.000 0.000 0.500
4 Mn 0.000 0.000 0.000


(9)
VASP calculation (PBE-GGA) on crystalline LiPrNdPd at its relaxed geometry.

Results
* space-group type: F-43m
* E_form: -1.21 eV per formula unit
* mass density: 6.61 Mg/m³
* DOS at the Fermi energy: 3.3 states/eV/f.u.

abc: 5.212 5.212 5.212
angles: 60.00 60.00 60.00
Sites, in units of the cell vectors:
1 Nd 0.250 0.250 0.250
2 Li 0.000 0.000 0.000
3 Pr 0.750 0.750 0.750
4 Pd 0.500 0.500 0.500


(10)
VASP calculation (PBE-GGA) on crystalline TaAlCr at its relaxed geometry.

Results
* space-group type: Imm2
* E_form: 0.15 eV per formula unit
* mass density: 9.48 Mg/m³
* relative energy among the computed polymorphs: 0.72 eV/f.u.
* DOS at the Fermi energy: 1.7 states/eV/f.u.

abc: 4.829 4.829 4.829
angles: 147.51 130.59 60.39
Sites, in units of the cell vectors:
1 Al 0.993 0.993 0.000
2 Ta 0.666 0.666 0.000
3 Cr 0.341 0.341 0.000


(11)
VASP calculation (PBE-GGA) on crystalline HoNb2 at its relaxed geometry.

Results
* space-group type: Fd-3m
* E_form: 0.52 eV per formula unit
* mass density: 8.83 Mg/m³
* relative energy among the computed polymorphs: 0.08 eV/f.u.
* DOS at the Fermi energy: 5.7 states/eV/f.u.

abc: 5.714 5.714 5.714
angles: 60.00 60.00 60.00
Sites, in units of the cell vectors:
1 Nb 0.625 0.625 0.625
2 Nb 0.625 0.125 0.625
3 Nb 0.125 0.625 0.625
4 Nb 0.625 0.625 0.125
5 Ho 0.000 0.000 0.000
6 Ho 0.250 0.250 0.250


(12)
VASP calculation (PBE-GGA) on crystalline Li3CaF at its relaxed geometry.

Results
* space-group type: Pm-3m
* mass density: 0.54 Mg/m³
* relative energy among the computed polymorphs: 6.07 eV/f.u.
* raw formation energy: 422 meV/atom
* DOS at the Fermi energy: 3.9 states/eV/f.u.

abc: 6.269 6.269 6.269
angles: 90.00 90.00 90.00
Sites, in units of the cell vectors:
1 Li 0.000 0.000 0.500
2 Li 0.500 0.000 0.000
3 Li 0.000 0.500 0.000
4 F 0.500 0.500 0.500
5 Ca 0.000 0.000 0.000


| no. | M_tot (μB/f.u.) |
| --- | --- |
| 1 | 3.97 |
| 2 | 0.00 |
| 3 | 0.00 |
| 4 | 0.00 |
| 5 | 0.00 |
| 6 | 0.00 |
| 7 | 7.00 |
| 8 | 1.03 |
| 9 | 0.00 |
| 10 | 0.00 |
| 11 | 0.00 |
| 12 | 1.89 |